NbTlMoO6 after structural relaxation. Source: the Alexandria database, functional PBE with a Hubbard U.

a b c (Å): 5.373 5.373 6.137
angles (deg): 90.00 90.00 120.00
Atoms (fractional coordinates):
Nb (0.000, 0.000, 0.000)
Tl (0.667, 0.333, 0.442)
Mo (0.333, 0.667, 0.912)
O (0.069, 0.731, 0.769)
O (0.070, 0.348, 0.136)
O (0.269, 0.338, 0.769)
O (0.278, 0.930, 0.136)
O (0.652, 0.722, 0.136)
O (0.662, 0.931, 0.769)

Output
DOS(E_F) in states/eV/cell: 0.0
Final energy in eV/atom: -7.32